First-principles (PBE-GGA) data for crystalline NdTm2Ru at its relaxed geometry, as listed in Alexandria.

Computed properties:
Calculated formation energy (eV per atom): -0.2884
Polymorph energy (0 for the lowest one) (eV per atom): 0.018
Total energy (eV/atom): -6.035
DOS(E_F) (states/eV/cell): 2.5

```
data_NdTm2Ru
_chemical_formula_sum 'Nd1 Tm2 Ru1'
_space_group_name_H-M_alt 'P 4/m m m'
_space_group_IT_number 123
_space_group_name_Hall '-P 4 2'
_cell_length_a 3.416
_cell_length_b 3.416
_cell_length_c 8.925
_cell_angle_alpha 90.00
_cell_angle_beta 90.00
_cell_angle_gamma 90.00
loop_
_atom_site_label
_atom_site_fract_x
_atom_site_fract_y
_atom_site_fract_z
Nd1 0.000 0.000 0.000
Tm1 0.500 0.500 0.320
Ru1 0.000 0.000 0.500
```